# 1
First-principles (PBE-GGA) data for PrSi2Pt2 after structural relaxation, as listed in OQMD.

Unit cell a=4.3234 b=4.3234 c=9.9620 alpha=90.00 beta=90.00 gamma=90.00
With the nearest neighbours (Å) after each atom.
Sites, in units of the cell vectors:
Pr  0.0000  0.0000  0.0000  8 Si 3.30, 10 Pt 3.35-3.61
Pr  0.5000  0.5000  0.5000  8 Si 3.30, 10 Pt 3.35-3.61
Si  0.0000  0.5000  0.2500  4 Pt 2.44
Si  0.0000  0.5000  0.7500  4 Pt 2.44
Si  0.5000  0.0000  0.2500  4 Pt 2.44
Si  0.5000  0.0000  0.7500  4 Pt 2.44
Pt  0.0000  0.0000  0.3627  4 Si 2.44
Pt  0.0000  0.0000  0.6373  4 Si 2.44
Pt  0.5000  0.5000  0.1373  4 Si 2.44
Pt  0.5000  0.5000  0.8627  4 Si 2.44

The value obtained for the volume is 186 Å³/cell.



# 2
First-principles (PBE-GGA) data for GdYMg3Pd2 after structural relaxation, as listed in OQMD.

Unit cell a=3.6487 b=4.2431 c=21.1333 alpha=90.00 beta=90.00 gamma=90.00
With the nearest neighbours (Å) after each atom.
Sites, in units of the cell vectors:
Gd  0.0000  0.0000  0.0000  6 Pd 2.88-3.17
Gd  0.0000  0.5000  0.5000  6 Pd 2.88-3.17
Y  0.0000  0.0000  0.6565  6 Pd 2.89-3.19
Y  0.0000  0.5000  0.1565  6 Pd 2.89-3.19
Mg  0.0000  0.0000  0.8275  8 Mg 3.21-3.22
Mg  0.0000  0.5000  0.3275  8 Mg 3.21-3.22
Mg  0.5000  0.0000  0.2525  1 Pd 2.75
Mg  0.5000  0.0000  0.4023  1 Pd 2.76
Mg  0.5000  0.5000  0.7525  1 Pd 2.75
Mg  0.5000  0.5000  0.9023  1 Pd 2.76
Pd  0.5000  0.0000  0.1224  1 Mg 2.75, 2 Pd 2.84, 4 Y 2.89
Pd  0.5000  0.0000  0.5328  1 Mg 2.76, 2 Pd 2.84, 4 Gd 2.88
Pd  0.5000  0.5000  0.0328  1 Mg 2.76, 2 Pd 2.84, 4 Gd 2.88
Pd  0.5000  0.5000  0.6224  1 Mg 2.75, 2 Pd 2.84, 4 Y 2.89

The value obtained for the volume is 327 Å³/cell.



# 3
First-principles (PBE-GGA) data for PmSmGa after structural relaxation, as listed in OQMD.

Unit cell a=7.1515 b=7.1515 c=7.1515 alpha=90.00 beta=90.00 gamma=90.00
With the nearest neighbours (Å) after each atom.
Sites, in units of the cell vectors:
Pm  0.0000  0.0000  0.0000  4 Ga 3.10
Pm  0.0000  0.5000  0.5000  4 Ga 3.10
Pm  0.5000  0.0000  0.5000  4 Ga 3.10
Pm  0.5000  0.5000  0.0000  4 Ga 3.10
Sm  0.0000  0.0000  0.5000  4 Ga 3.10
Sm  0.0000  0.5000  0.0000  4 Ga 3.10
Sm  0.5000  0.0000  0.0000  4 Ga 3.10
Sm  0.5000  0.5000  0.5000  4 Ga 3.10
Ga  0.2500  0.2500  0.2500  4 Sm 3.10, 4 Pm 3.10
Ga  0.2500  0.7500  0.7500  4 Pm 3.10, 4 Sm 3.10
Ga  0.7500  0.2500  0.7500  4 Pm 3.10, 4 Sm 3.10
Ga  0.7500  0.7500  0.2500  4 Pm 3.10, 4 Sm 3.10

The value obtained for the volume is 366 Å³/cell. Its energy above the most stable polymorph in this dataset is 0.0 meV per atom.



# 4
First-principles (PBE-GGA) data for La3Zn3Ni2Ir after structural relaxation, as listed in OQMD.

Unit cell a=7.2671 b=7.2671 c=4.0380 alpha=90.00 beta=90.00 gamma=120.00
With the nearest neighbours (Å) after each atom.
Sites, in units of the cell vectors:
La  0.0000  0.4148  0.0000  4 Ni 2.98, 1 Ir 3.01, 6 Zn 3.23-3.31
La  0.4148  0.0000  0.0000  4 Ni 2.98, 1 Ir 3.01, 6 Zn 3.23-3.31
La  0.5852  0.5852  0.0000  4 Ni 2.98, 1 Ir 3.01, 6 Zn 3.23-3.31
Zn  0.0000  0.7624  0.5000  2 Ir 2.66, 2 Ni 2.84
Zn  0.2376  0.2376  0.5000  2 Ir 2.66, 2 Ni 2.84
Zn  0.7624  0.0000  0.5000  2 Ir 2.66, 2 Ni 2.84
Ni  0.3333  0.6667  0.5000  3 Zn 2.84, 6 La 2.98
Ni  0.6667  0.3333  0.5000  3 Zn 2.84, 6 La 2.98
Ir  0.0000  0.0000  0.0000  6 Zn 2.66

The value obtained for the volume is 185 Å³/cell. The energy of formation from the pure elements comes out at -455 meV per atom.



# 5
First-principles (PBE-GGA) data for Er4Ni2Sn5 after structural relaxation, as listed in OQMD.

Unit cell a=8.1804 b=8.1804 c=7.6244 alpha=109.41 beta=109.41 gamma=31.91
With the nearest neighbours (Å) after each atom.
Sites, in units of the cell vectors:
Er  0.0894  0.0894  0.3889  3 Ni 2.88-3.17, 2 Sn 3.17
Er  0.1524  0.1524  0.9581  7 Sn 3.07-3.38, 1 Ni 3.19
Er  0.8476  0.8476  0.0419  7 Sn 3.07-3.38, 1 Ni 3.19
Er  0.9106  0.9106  0.6111  3 Ni 2.88-3.17, 2 Sn 3.17
Ni  0.2730  0.2730  0.3918  4 Sn 2.55-2.59
Ni  0.7270  0.7270  0.6082  4 Sn 2.55-2.59
Sn  0.2950  0.2950  0.7450  3 Ni 2.55-2.59
Sn  0.4233  0.4233  0.3286  1 Ni 2.57, 1 Sn 2.88
Sn  0.5000  0.5000  0.0000  4 Sn 3.13-3.14, 4 Er 3.38
Sn  0.5767  0.5767  0.6714  1 Ni 2.57, 1 Sn 2.88
Sn  0.7050  0.7050  0.2550  3 Ni 2.55-2.59

The value obtained for the volume is 253 Å³/cell.



# 6
First-principles (PBE-GGA) data for GdCuHgSe3 after structural relaxation, as listed in OQMD.

Unit cell a=6.8763 b=6.8763 c=10.8724 alpha=90.00 beta=90.00 gamma=146.35
With the nearest neighbours (Å) after each atom.
Sites, in units of the cell vectors:
Gd  0.0000  0.0000  0.0000  6 Se 2.87-2.98
Gd  0.0000  0.0000  0.5000  6 Se 2.87-2.98
Cu  0.4728  0.5272  0.7500  4 Se 2.44-2.54
Cu  0.5272  0.4728  0.2500  4 Se 2.44-2.54
Hg  0.2410  0.7590  0.2500  6 Se 2.96-3.03
Hg  0.7590  0.2410  0.7500  6 Se 2.96-3.03
Se  0.0928  0.9072  0.7500  2 Cu 2.54
Se  0.3562  0.6438  0.5761  1 Cu 2.44
Se  0.3562  0.6438  0.9239  1 Cu 2.44
Se  0.6438  0.3562  0.0761  1 Cu 2.44
Se  0.6438  0.3562  0.4239  1 Cu 2.44
Se  0.9072  0.0928  0.2500  2 Cu 2.54

The value obtained for the volume is 285 Å³/cell.



# 7
First-principles (PBE-GGA) data for HoTm2Tc after structural relaxation, as listed in OQMD.

Unit cell a=3.8469 b=11.7928 c=9.0384 alpha=90.00 beta=90.00 gamma=90.00
With the nearest neighbours (Å) after each atom.
Sites, in units of the cell vectors:
Ho  0.0000  0.0705  0.2500  2 Tc 2.77
Ho  0.0000  0.9295  0.7500  2 Tc 2.77
Ho  0.5000  0.4295  0.7500  2 Tc 2.77
Ho  0.5000  0.5705  0.2500  2 Tc 2.77
Tm  0.0000  0.3551  0.0652  3 Tc 2.89-3.06
Tm  0.0000  0.3551  0.4348  3 Tc 2.89-3.06
Tm  0.0000  0.6449  0.5652  3 Tc 2.89-3.06
Tm  0.0000  0.6449  0.9348  3 Tc 2.89-3.06
Tm  0.5000  0.1449  0.5652  3 Tc 2.89-3.06
Tm  0.5000  0.1449  0.9348  3 Tc 2.89-3.06
Tm  0.5000  0.8551  0.0652  3 Tc 2.89-3.06
Tm  0.5000  0.8551  0.4348  3 Tc 2.89-3.06
Tc  0.0000  0.2604  0.7500  2 Ho 2.77, 6 Tm 2.89-3.06
Tc  0.0000  0.7396  0.2500  2 Ho 2.77, 6 Tm 2.89-3.06
Tc  0.5000  0.2396  0.2500  2 Ho 2.77, 6 Tm 2.89-3.06
Tc  0.5000  0.7604  0.7500  2 Ho 2.77, 6 Tm 2.89-3.06

The value obtained for the volume is 410 Å³/cell. The energy of formation from the pure elements comes out at -138 meV per atom.



# 8
First-principles (PBE-GGA) data for SrIrNO2 after structural relaxation, as listed in OQMD.

Unit cell a=5.5125 b=5.5184 c=6.0897 alpha=90.71 beta=116.37 gamma=118.80
With the nearest neighbours (Å) after each atom.
Sites, in units of the cell vectors:
Sr  0.0000  0.0000  0.0000  4 O 2.38-2.58, 2 N 2.48-2.51
Sr  0.4694  0.7248  0.2092  4 O 2.34-2.57
Ir  0.0722  0.5536  0.5972  2 N 1.91-1.95, 3 O 2.03-2.09
Ir  0.4279  0.2140  0.6164  2 N 1.90-1.94, 3 O 2.02-2.09
N  0.4528  0.9286  0.7931  2 Ir 1.91-1.94
N  0.8673  0.5277  0.7950  2 Ir 1.90-1.95
O  0.1827  0.3825  0.3807  2 Ir 2.06-2.07
O  0.2652  0.3385  0.8204  2 Ir 2.09
O  0.5740  0.1807  0.3725  2 Ir 2.02-2.19
O  0.9846  0.8069  0.3770  2 Ir 2.03-2.15

The value obtained for the volume is 139 Å³/cell.



DFT total energy, record by record: -6.585, -4.246, -4.403, -4.738, -5.107, -3.939, -6.110, -6.765 eV/atom
M_tot, record by record: 0.00, 0.02, 0.61, 0.00, 0.00, 0.00, 0.00, 0.00 μB per formula unit